RuSe2BrN after structural relaxation, computed with PBE-GGA.

```
5
Lattice="5.1446 0.0000 0.0000 0.0000 5.1446 0.0000 0.0000 0.0000 3.6831" Properties=species:S:1:pos:R:3 pbc="T T T"
Ru 0.0000 0.0000 0.0000
Se 0.0000 2.5723 0.0000
Se 2.5723 0.0000 0.0000
Br 2.5723 2.5723 1.8415
N 0.0000 0.0000 1.8415
```

**Magnetization**: 0.0 μB per formula unit
**Energy above the most stable polymorph in this dataset**: 0.0 kJ/mol of formula units
**Total energy**: -4.72 eV/atom
**Formation energy (no corrections)**: 2.65 eV/f.u.
**Symmetry**: P4/mmm, No. 123